1.
MnTlN2 | PBE | relaxed

Computed properties:
Total moment (μB/cell): 0.000
SG: I-42d (122)
Volume (Å³ per cell): 126

abc: 5.6040 5.6040 5.6363
angles: 60.19 60.19 90.00
Fractional coordinates of all 8 atoms:
Mn 0.5000 0.5000 0.0000
Tl 0.0000 0.0000 0.0000
Mn 0.2500 0.7500 0.5000
N 0.3750 0.5724 0.7500
N 0.4276 0.1250 0.2500
Tl 0.7500 0.2500 0.5000
N 0.8750 0.6776 0.7500
N 0.3224 0.6250 0.2500

=====

2.
MnTlN2 | PBE | relaxed

Computed properties:
Total moment (μB/cell): 2.190
SG: R-3m (166)
Volume (Å³ per cell): 52

abc: 6.8587 6.8587 6.8587
angles: 25.41 25.41 25.41
Last column: magnetic moment on the atom in μB.
Fractional coordinates of all 4 atoms:
Tl 0.0000 0.0000 0.0000  -0.01
N 0.8820 0.8820 0.8820  -0.18
Mn 0.5000 0.5000 0.5000  2.57
N 0.1180 0.1180 0.1180  -0.18

=====

It is 2 that is the least stable of them.

=====

1.
MnTl3N | PBE | relaxed

Computed properties:
Total moment (μB/cell): 0.037
SG: Pm-3m (221)
Volume (Å³ per cell): 115

abc: 4.8655 4.8655 4.8655
angles: 90.00 90.00 90.00
Last column: magnetic moment on the atom in μB.
Fractional coordinates of all 5 atoms:
Tl 0.5000 0.0000 0.0000  0.02
Tl 0.0000 0.0000 0.5000  0.00
N 0.0000 0.0000 0.0000  0.08
Mn 0.5000 0.5000 0.5000  -0.16
Tl 0.0000 0.5000 0.0000  0.00

=====

2.
MnTl3N | PBE | relaxed

Computed properties:
Total moment (μB/cell): 4.757
SG: Pm-3m (221)
Volume (Å³ per cell): 141

abc: 5.2087 5.2087 5.2087
angles: 90.00 90.00 90.00
Last column: magnetic moment on the atom in μB.
Fractional coordinates of all 5 atoms:
Mn 0.0000 0.0000 0.0000  2.66
Tl 0.0000 0.5000 0.0000  -0.03
Tl 0.0000 0.0000 0.5000  0.01
N 0.5000 0.5000 0.5000  1.53
Tl 0.5000 0.0000 0.0000  -0.09

=====

It is 1 that is the least stable of them.